# 1
SiHO2 at its PBEsol-relaxed geometry. Source: Alexandria, functional meta-GGA SCAN.

a = 2.6917 Å, b = 2.6917 Å, c = 7.7257 Å
α = 79.97°, β = 79.97°, γ = 60.00°
Last column: nearest neighbours and their distance in Å.
Fractional coordinates of all 4 atoms:
H: 0.0000 0.0000 0.0000  6 H 2.69, 2 O 2.88
Si: 0.5000 0.5000 0.5000  6 O 1.80
O: 0.8734 0.8734 0.3799  3 Si 1.80
O: 0.1266 0.1266 0.6201  3 Si 1.80

Values from the calculation:
- theoretical density (kg/m³) = 2136
- energy (eV/atom) = -7.913

=====

# 2
BaNaGa2Br at its PBEsol-relaxed geometry. Source: Alexandria, functional meta-GGA SCAN.

a = 5.2984 Å, b = 5.2984 Å, c = 5.3706 Å
α = 90.00°, β = 90.00°, γ = 90.00°
Last column: nearest neighbours and their distance in Å.
Fractional coordinates of all 5 atoms:
Na: 0.0000 0.0000 0.0000  4 Ga 2.65, 2 Br 2.69
Ga: 0.0000 0.5000 0.0000  2 Na 2.65
Ga: 0.5000 0.0000 0.0000  2 Na 2.65
Ba: 0.5000 0.5000 0.5000  4 Br 3.75, 8 Ga 3.77
Br: 0.0000 0.0000 0.5000  2 Na 2.69

Values from the calculation:
- theoretical density (kg/m³) = 4182
- uncorrected formation energy (eV/atom) = -0.249

=====

# 3
Sr2YCrCu2O8 at its PBEsol-relaxed geometry. Source: Alexandria, functional meta-GGA SCAN.

a = 3.8569 Å, b = 3.8569 Å, c = 10.8500 Å
α = 90.00°, β = 90.00°, γ = 89.43°
Last column: nearest neighbours and their distance in Å.
Fractional coordinates of all 14 atoms:
Sr: 0.5172 0.5172 0.3154  11 O 2.54-2.81
Sr: 0.5172 0.5172 0.6846  11 O 2.54-2.81
Y: 0.5029 0.5029 0.0000  8 O 2.39-2.40
Cr: 0.0486 0.0486 0.5000  4 O 1.73-1.76
Cu: 0.0045 0.0045 0.1415  4 O 1.93
Cu: 0.0045 0.0045 0.8585  4 O 1.93
O: 0.0044 0.5036 0.1315  2 Cu 1.93
O: 0.5036 0.0044 0.1315  2 Cu 1.93
O: 0.0044 0.5036 0.8685  2 Cu 1.93
O: 0.5036 0.0044 0.8685  2 Cu 1.93
O: 0.9777 0.9777 0.3419  1 Cr 1.76
O: 0.9777 0.9777 0.6581  1 Cr 1.76
O: 0.0136 0.4952 0.5000  1 Cr 1.73
O: 0.4952 0.0136 0.5000  1 Cr 1.73

Values from the calculation:
- theoretical density (kg/m³) = 5877
- uncorrected formation energy (eV/atom) = -2.379

=====

# 4
K2MnAuS at its PBEsol-relaxed geometry. Source: Alexandria, functional meta-GGA SCAN.

a = 4.2626 Å, b = 6.3293 Å, c = 6.3293 Å
α = 90.00°, β = 90.00°, γ = 90.00°
Last column: nearest neighbours and their distance in Å.
Fractional coordinates of all 5 atoms:
K: 0.0000 0.0000 0.5000  2 Mn 3.16
K: 0.0000 0.5000 0.0000  2 Mn 3.16
Mn: 0.0000 0.0000 0.0000  2 S 2.13
Au: 0.5000 0.5000 0.5000  8 K 3.82, 2 Au 4.26
S: 0.5000 0.0000 0.0000  2 Mn 2.13

Values from the calculation:
- theoretical density (kg/m³) = 3522
- uncorrected formation energy (eV/atom) = -0.317

=====

# 5
Cs2TcOsSe at its PBEsol-relaxed geometry. Source: Alexandria, functional meta-GGA SCAN.

a = 4.5923 Å, b = 6.7408 Å, c = 6.7408 Å
α = 90.00°, β = 90.00°, γ = 90.00°
Last column: nearest neighbours and their distance in Å.
Fractional coordinates of all 5 atoms:
Cs: 0.0000 0.0000 0.5000  2 Se 3.37
Cs: 0.0000 0.5000 0.0000  2 Se 3.37
Os: 0.5000 0.5000 0.5000  8 Cs 4.08
Tc: 0.5000 0.0000 0.0000  2 Se 2.30
Se: 0.0000 0.0000 0.0000  2 Tc 2.30

Values from the calculation:
- theoretical density (kg/m³) = 5037
- uncorrected formation energy (eV/atom) = 1.395

=====

# 6
MgTcRu2 at its PBEsol-relaxed geometry. Source: Alexandria, functional meta-GGA SCAN.

a = 2.9311 Å, b = 4.4775 Å, c = 5.0567 Å
α = 116.28°, β = 106.85°, γ = 90.00°
Last column: nearest neighbours and their distance in Å.
Fractional coordinates of all 4 atoms:
Mg: 0.0000 0.5000 0.0000  4 Ru 2.63, 4 Tc 2.68, 2 Mg 2.93
Ru: 0.7546 0.7546 0.5091  2 Tc 2.57, 2 Mg 2.63, 4 Ru 2.68
Ru: 0.2454 0.2454 0.4909  2 Tc 2.57, 2 Mg 2.63, 4 Ru 2.68
Tc: 0.5000 0.0000 0.0000  4 Ru 2.57, 4 Mg 2.68

Values from the calculation:
- theoretical density (kg/m³) = 9567
- ΔH_f (0 K) (eV/atom) = 0.18

=====

# 7
ScFe3 at its PBEsol-relaxed geometry. Source: Alexandria, functional meta-GGA SCAN.

a = 2.7917 Å, b = 2.7917 Å, c = 7.6941 Å
α = 90.00°, β = 90.00°, γ = 120.00°
Last column: nearest neighbours and their distance in Å.
Fractional coordinates of all 4 atoms:
Fe: 0.3333 0.6667 0.2188  3 Fe 2.33
Fe: 0.3333 0.6667 0.7812  3 Fe 2.33
Fe: 0.0000 0.0000 0.0000  6 Fe 2.33
Sc: 0.0000 0.0000 0.5000  6 Fe 2.70, 6 Sc 2.79

Values from the calculation:
- theoretical density (kg/m³) = 6795
- ΔH_f (0 K) (eV/atom) = 0.42

=====

# 8
YTa4In at its PBEsol-relaxed geometry. Source: Alexandria, functional meta-GGA SCAN.

a = 5.5731 Å, b = 5.5731 Å, c = 5.5731 Å
α = 60.00°, β = 60.00°, γ = 60.00°
Last column: nearest neighbours and their distance in Å.
Fractional coordinates of all 6 atoms:
In: 0.0000 0.0000 0.0000  12 Ta 3.27, 4 Y 3.41
Ta: 0.3770 0.3770 0.3770  6 Ta 2.74-2.83
Ta: 0.3770 0.3770 0.8690  6 Ta 2.74-2.83
Ta: 0.8690 0.3770 0.3770  6 Ta 2.74-2.83
Ta: 0.3770 0.8690 0.3770  6 Ta 2.74-2.83
Y: 0.7500 0.7500 0.7500  12 Ta 3.26, 4 In 3.41

Values from the calculation:
- theoretical density (kg/m³) = 12583
- ΔH_f (0 K) (eV/atom) = 0.20

=====

# 9
CsSrZr2Sn at its PBEsol-relaxed geometry. Source: Alexandria, functional meta-GGA SCAN.

a = 5.2521 Å, b = 5.2521 Å, c = 5.7377 Å
α = 90.00°, β = 90.00°, γ = 90.00°
Last column: nearest neighbours and their distance in Å.
Fractional coordinates of all 5 atoms:
Cs: 0.0000 0.0000 0.0000  4 Zr 2.63, 2 Sr 2.87
Sr: 0.0000 0.0000 0.5000  2 Cs 2.87
Sn: 0.5000 0.5000 0.5000  4 Sr 3.71, 8 Zr 3.89
Zr: 0.0000 0.5000 0.0000  2 Cs 2.63
Zr: 0.5000 0.0000 0.0000  2 Cs 2.63

Values from the calculation:
- theoretical density (kg/m³) = 5473
- ΔH_f (0 K) (eV/atom) = 1.60

=====

# 10
Ir2WBr at its PBEsol-relaxed geometry. Source: Alexandria, functional meta-GGA SCAN.

a = 3.9700 Å, b = 3.9536 Å, c = 3.9536 Å
α = 90.00°, β = 90.00°, γ = 90.00°
Last column: nearest neighbours and their distance in Å.
Fractional coordinates of all 4 atoms:
Ir: 0.0000 0.0000 0.5000  4 Ir 2.80, 4 W 2.80, 4 Br 2.80
Ir: 0.0000 0.5000 0.0000  4 Ir 2.80, 4 W 2.80, 4 Br 2.80
Br: 0.5000 0.0000 0.0000  4 W 2.80, 8 Ir 2.80
W: 0.5000 0.5000 0.5000  4 Br 2.80, 8 Ir 2.80

Values from the calculation:
- theoretical density (kg/m³) = 17345
- offset from the most stable computed form (eV/atom) = 0.680
- uncorrected formation energy (eV/atom) = 1.443

=====

# 11
Pt3PbCl at its PBEsol-relaxed geometry. Source: Alexandria, functional meta-GGA SCAN.

a = 4.6122 Å, b = 4.6122 Å, c = 4.6122 Å
α = 90.00°, β = 90.00°, γ = 90.00°
Last column: nearest neighbours and their distance in Å.
Fractional coordinates of all 5 atoms:
Pb: 0.5000 0.5000 0.5000  12 Pt 3.26
Pt: 0.0000 0.5000 0.0000  2 Cl 2.31
Pt: 0.0000 0.0000 0.5000  2 Cl 2.31
Pt: 0.5000 0.0000 0.0000  2 Cl 2.31
Cl: 0.0000 0.0000 0.0000  6 Pt 2.31

Values from the calculation:
- theoretical density (kg/m³) = 14012
- uncorrected formation energy (eV/atom) = 0.837

=====

# 12
Sc2CrCdF at its PBEsol-relaxed geometry. Source: Alexandria, functional meta-GGA SCAN.

a = 4.2855 Å, b = 4.2855 Å, c = 4.8681 Å
α = 90.00°, β = 90.00°, γ = 90.00°
Last column: nearest neighbours and their distance in Å.
Fractional coordinates of all 5 atoms:
Sc: 0.0000 0.5000 0.0000  2 F 2.14
Sc: 0.5000 0.0000 0.0000  2 F 2.14
Cr: 0.5000 0.5000 0.5000  4 Cd 3.03, 8 Sc 3.24
F: 0.0000 0.0000 0.0000  4 Sc 2.14
Cd: 0.0000 0.0000 0.5000  2 F 2.43

Values from the calculation:
- theoretical density (kg/m³) = 5076
- uncorrected formation energy (eV/atom) = -0.781

=====

# 13
ReWCl2 at its PBEsol-relaxed geometry. Source: Alexandria, functional meta-GGA SCAN.

a = 4.4714 Å, b = 4.4714 Å, c = 4.4714 Å
α = 60.00°, β = 60.00°, γ = 60.00°
Last column: nearest neighbours and their distance in Å.
Fractional coordinates of all 4 atoms:
Re: 0.5000 0.5000 0.5000  4 Cl 2.74, 4 W 2.74
W: 0.2500 0.2500 0.2500  4 Cl 2.74, 4 Re 2.74
Cl: 0.0000 0.0000 0.0000  4 Cl 2.74, 4 W 2.74
Cl: 0.7500 0.7500 0.7500  4 Re 2.74, 4 Cl 2.74

Values from the calculation:
- theoretical density (kg/m³) = 11583
- offset from the most stable computed form (eV/atom) = 1.516
- uncorrected formation energy (eV/atom) = 1.292

=====

# 14
Na3CdBr at its PBEsol-relaxed geometry. Source: Alexandria, functional meta-GGA SCAN.

a = 5.7294 Å, b = 5.7294 Å, c = 5.7294 Å
α = 90.00°, β = 90.00°, γ = 90.00°
Last column: nearest neighbours and their distance in Å.
Fractional coordinates of all 5 atoms:
Na: 0.0000 0.5000 0.0000  2 Cd 2.86
Na: 0.0000 0.0000 0.5000  2 Cd 2.86
Na: 0.5000 0.0000 0.0000  2 Cd 2.86
Br: 0.5000 0.5000 0.5000  12 Na 4.05
Cd: 0.0000 0.0000 0.0000  6 Na 2.86

Values from the calculation:
- theoretical density (kg/m³) = 2307
- uncorrected formation energy (eV/atom) = -0.198

=====

# 15
Tc2PH2 at its PBEsol-relaxed geometry. Source: Alexandria, functional meta-GGA SCAN.

a = 3.6580 Å, b = 3.6580 Å, c = 4.4104 Å
α = 114.50°, β = 114.50°, γ = 90.00°
Last column: nearest neighbours and their distance in Å.
Fractional coordinates of all 5 atoms:
P: 0.0000 0.0000 0.0000  2 Tc 2.33, 8 H 2.56
Tc: 0.3258 0.3258 0.6516  4 H 1.91
Tc: 0.6742 0.6742 0.3484  4 H 1.91
H: 0.2500 0.7500 0.5000  4 Tc 1.91
H: 0.7500 0.2500 0.5000  4 Tc 1.91

Values from the calculation:
- theoretical density (kg/m³) = 7955
- energy (eV/atom) = -17.154

=====

# 16
CuPtAu2 at its PBEsol-relaxed geometry. Source: Alexandria, functional meta-GGA SCAN.

a = 3.9754 Å, b = 3.9754 Å, c = 4.7599 Å
α = 114.68°, β = 114.68°, γ = 90.00°
Last column: nearest neighbours and their distance in Å.
Fractional coordinates of all 4 atoms:
Au: 0.0000 0.0000 0.0000  4 Pt 2.76, 4 Au 2.76, 4 Cu 2.81
Au: 0.7500 0.2500 0.5000  4 Cu 2.76, 4 Au 2.76, 4 Pt 2.81
Cu: 0.5000 0.5000 0.0000  4 Pt 2.76, 8 Au 2.76-2.81
Pt: 0.2500 0.7500 0.5000  4 Cu 2.76, 8 Au 2.76-2.81

Values from the calculation:
- theoretical density (kg/m³) = 17850
- offset from the most stable computed form (eV/atom) = 0.038
- ΔH_f (0 K) (eV/atom) = -0.02

=====

# 17
Mn2Tc at its PBEsol-relaxed geometry. Source: Alexandria, functional meta-GGA SCAN.

a = 4.6033 Å, b = 4.6033 Å, c = 4.6033 Å
α = 60.00°, β = 60.00°, γ = 60.00°
Last column: nearest neighbours and their distance in Å.
Fractional coordinates of all 6 atoms:
Mn: 0.1250 0.6250 0.6250  6 Mn 2.30
Mn: 0.6250 0.6250 0.6250  6 Mn 2.30
Mn: 0.6250 0.6250 0.1250  6 Mn 2.30
Mn: 0.6250 0.1250 0.6250  6 Mn 2.30
Tc: 0.0000 0.0000 0.0000  12 Mn 2.70, 4 Tc 2.82
Tc: 0.2500 0.2500 0.2500  12 Mn 2.70, 4 Tc 2.82

Values from the calculation:
- theoretical density (kg/m³) = 10009
- offset from the most stable computed form (eV/atom) = 0.021
- ΔH_f (0 K) (eV/atom) = 0.01

=====

# 18
Tl2CdSb2 at its PBEsol-relaxed geometry. Source: Alexandria, functional meta-GGA SCAN.

a = 5.3568 Å, b = 7.4404 Å, c = 7.4404 Å
α = 90.00°, β = 90.00°, γ = 90.00°
Last column: nearest neighbours and their distance in Å.
Fractional coordinates of all 10 atoms:
Sb: 0.0000 0.3643 0.8643  1 Sb 2.86, 2 Cd 2.89
Sb: 0.0000 0.8643 0.6357  1 Sb 2.86, 2 Cd 2.89
Sb: 0.0000 0.6357 0.1357  1 Sb 2.86, 2 Cd 2.89
Sb: 0.0000 0.1357 0.3643  1 Sb 2.86, 2 Cd 2.89
Tl: 0.5000 0.1727 0.6727  6 Sb 3.35-3.54, 1 Tl 3.63
Tl: 0.5000 0.6727 0.8273  6 Sb 3.35-3.54, 1 Tl 3.63
Tl: 0.5000 0.8273 0.3273  6 Sb 3.35-3.54, 1 Tl 3.63
Tl: 0.5000 0.3273 0.1727  6 Sb 3.35-3.54, 1 Tl 3.63
Cd: 0.0000 0.0000 0.0000  4 Sb 2.89
Cd: 0.0000 0.5000 0.5000  4 Sb 2.89

Values from the calculation:
- theoretical density (kg/m³) = 8564
- uncorrected formation energy (eV/atom) = 0.028

=====

# 19
Ba2YTc at its PBEsol-relaxed geometry. Source: Alexandria, functional meta-GGA SCAN.

a = 4.5747 Å, b = 4.5747 Å, c = 6.3717 Å
α = 111.04°, β = 111.04°, γ = 90.00°
Last column: nearest neighbours and their distance in Å.
Fractional coordinates of all 4 atoms:
Ba: 0.7500 0.2500 0.5000  4 Ba 3.23, 4 Tc 3.57, 4 Y 3.57
Ba: 0.2500 0.7500 0.5000  4 Ba 3.23, 4 Tc 3.57, 4 Y 3.57
Tc: 0.0000 0.0000 0.0000  4 Y 3.23, 8 Ba 3.57
Y: 0.5000 0.5000 0.0000  4 Tc 3.23, 8 Ba 3.57

Values from the calculation:
- theoretical density (kg/m³) = 6671
- offset from the most stable computed form (eV/atom) = 0.453
- ΔH_f (0 K) (eV/atom) = 0.88

=====

# 20
Ag3Os at its PBEsol-relaxed geometry. Source: Alexandria, functional meta-GGA SCAN.

a = 2.6489 Å, b = 5.0315 Å, c = 5.5030 Å
α = 117.20°, β = 103.93°, γ = 90.00°
Last column: nearest neighbours and their distance in Å.
Fractional coordinates of all 4 atoms:
Os: 0.5000 0.8200 0.0000  2 Os 2.65, 10 Ag 2.82-2.87
Ag: 0.2456 0.2564 0.4911  9 Ag 2.65-2.89, 3 Os 2.83-2.86
Ag: 0.0000 0.3250 0.0000  8 Ag 2.65-2.89, 4 Os 2.82-2.87
Ag: 0.7544 0.7653 0.5089  9 Ag 2.65-2.89, 3 Os 2.83-2.86

Values from the calculation:
- theoretical density (kg/m³) = 13588
- offset from the most stable computed form (eV/atom) = 0.014
- ΔH_f (0 K) (eV/atom) = 0.55